Be2Al2Ni (PBE-GGA, relaxed); formation energy = 2.024 eV per formula unit; magnetization = 0.00 μB/f.u.; DOS at the Fermi energy = 2.38 states/eV per cell; calculated total energy = -3.7389 eV/atom; V = 13.10 Å³/atom; energy above the lowest structure with this stoichiometry = 2.23 eV per formula unit
1.0
-0.252 -2.231 -2.731
1.443 -2.564 1.961
-4.173 -3.841 1.235
Ni Al Be
1 2 2
direct
0.000 0.000 0.000 Ni
0.750 0.250 0.500 Al
0.250 0.750 0.500 Al
0.405 0.405 0.190 Be
0.595 0.595 0.810 Be

---

Na3ErSn3Se8 (PBE-GGA, relaxed); magnetization = 0.00 μB/f.u.; DOS at the Fermi energy = 4.13 states/eV per cell; calculated total energy = -4.0832 eV/atom; V = 27.20 Å³/atom
1.0
8.093 0.000 0.000
-4.047 7.009 -0.028
0.000 -4.649 7.210
Na Er Sn Se
3 1 3 8
direct
0.000 0.000 0.000 Na
0.000 0.500 0.000 Na
0.500 0.500 0.000 Na
0.000 0.000 0.500 Er
0.500 0.000 0.500 Sn
0.500 0.500 0.500 Sn
0.000 0.500 0.500 Sn
0.257 0.514 0.272 Se
0.743 0.486 0.728 Se
0.758 0.516 0.278 Se
0.242 0.484 0.722 Se
0.759 0.020 0.278 Se
0.241 0.980 0.722 Se
0.261 0.020 0.278 Se
0.739 0.980 0.722 Se

---

K3Cu3P2 (PBE-GGA, relaxed); formation energy = -2.689 eV per formula unit; magnetization = 0.00 μB/f.u.; calculated total energy = -3.6362 eV/atom; V = 23.77 Å³/atom
1.0
-1.598 -2.519 6.830
-5.775 -3.591 3.049
-0.988 -6.748 3.005
Cu K P
3 3 2
direct
0.000 0.500 0.500 Cu
0.500 0.000 0.500 Cu
0.500 0.500 0.000 Cu
0.092 0.092 0.092 K
0.908 0.908 0.908 K
0.500 0.500 0.500 K
0.743 0.743 0.743 P
0.257 0.257 0.257 P

---

Tl2SiPb (PBE-GGA, relaxed); magnetization = 0.00 μB/f.u.; DOS at the Fermi energy = 2.10 states/eV per cell; calculated total energy = -3.0742 eV/atom; V = 27.19 Å³/atom; energy above the lowest structure with this stoichiometry = 0.48 eV per formula unit
1.0
2.967 1.735 4.110
1.695 5.081 0.123
-2.083 3.434 3.546
Pb Tl Si
1 2 1
direct
0.500 0.500 0.500 Pb
0.250 0.250 0.250 Tl
0.750 0.750 0.750 Tl
0.000 0.000 0.000 Si

---

LiSc2UO6 (PBE-GGA, relaxed); magnetization = 1.00 μB/f.u.; calculated total energy = -8.7106 eV/atom; V = 12.79 Å³/atom
1.0
-0.723 5.006 -2.225
-4.619 2.847 1.044
0.334 4.636 3.461
Li Sc U O
1 2 1 6
direct
0.805 0.805 0.584 Li
0.524 0.524 0.429 Sc
0.018 0.018 0.946 Sc
0.313 0.313 0.061 U
0.622 0.234 0.240 O
0.234 0.904 0.240 O
0.904 0.622 0.240 O
0.385 0.715 0.759 O
0.715 0.141 0.759 O
0.141 0.385 0.759 O

---

AsOs2Se (PBE-GGA, relaxed); magnetization = 0.00 μB/f.u.; DOS at the Fermi energy = 2.15 states/eV per cell; calculated total energy = -7.4074 eV/atom; V = 18.09 Å³/atom; energy above the lowest structure with this stoichiometry = 0.00 eV per formula unit
1.0
-1.357 2.356 1.062
-2.547 -1.421 -0.103
1.264 -2.838 7.907
As Os Se
1 2 1
direct
0.500 0.500 0.827 As
0.000 0.000 0.014 Os
0.500 0.500 0.239 Os
0.000 0.000 0.420 Se